# 1
# Bi2W4CN, optimized geometry, DFT PBE-GGA
# V (Å³/atom): 16.7
data_Bi2W4CN
_chemical_formula_sum 'Bi2 W4 C1 N1'
_cell_length_a 3.2178
_cell_length_b 3.2178
_cell_length_c 14.8575
_cell_angle_alpha 90.00
_cell_angle_beta 90.00
_cell_angle_gamma 120.00
_space_group_name_H-M_alt 'P -3 m 1'
_space_group_IT_number 164
_space_group_name_Hall '-P 3 2"'
loop_
_atom_site_label
_atom_site_type_symbol
_atom_site_fract_x
_atom_site_fract_y
_atom_site_fract_z
Bi1 Bi 0.3333 0.6667 0.2499
W1 W 0.3333 0.6667 0.5720
W2 W 0.3333 0.6667 0.9305
C1 C 0.0000 0.0000 0.5000
N1 N 0.0000 0.0000 0.0000

# 2
# Ir4C2SeS, optimized geometry, DFT PBE-GGA
# V (Å³/atom): 13.8
data_Ir4C2SeS
_chemical_formula_sum 'Ir4 C2 Se1 S1'
_cell_length_a 3.3572
_cell_length_b 3.3572
_cell_length_c 11.3068
_cell_angle_alpha 90.00
_cell_angle_beta 90.00
_cell_angle_gamma 120.00
_space_group_name_H-M_alt 'P -6 m 2'
_space_group_IT_number 187
_space_group_name_Hall 'P -6 2'
loop_
_atom_site_label
_atom_site_type_symbol
_atom_site_fract_x
_atom_site_fract_y
_atom_site_fract_z
Ir1 Ir 0.0000 0.0000 0.1508
Ir2 Ir 0.3333 0.6667 0.3243
C1 C 0.6667 0.3333 0.2410
Se1 Se 0.0000 0.0000 0.5000
S1 S 0.3333 0.6667 0.0000

# 3
# Ho3TmPb2N2, optimized geometry, DFT PBE-GGA
# V (Å³/atom): 20.7
data_Ho3TmPb2N2
_chemical_formula_sum 'Ho3 Tm1 Pb2 N2'
_cell_length_a 3.5197
_cell_length_b 3.5197
_cell_length_c 15.4698
_cell_angle_alpha 90.00
_cell_angle_beta 90.00
_cell_angle_gamma 120.00
_space_group_name_H-M_alt 'P 3 m 1'
_space_group_IT_number 156
loop_
_space_group_symop_operation_xyz
'x,y,z'
'-y,x-y,z'
'-x+y,-x,z'
'-y,-x,z'
'-x+y,y,z'
'x,x-y,z'
loop_
_atom_site_label
_atom_site_type_symbol
_atom_site_fract_x
_atom_site_fract_y
_atom_site_fract_z
Ho1 Ho 0.0000 0.0000 0.0000
Ho2 Ho 0.0000 0.0000 0.3336
Ho3 Ho 0.3333 0.6667 0.5006
Tm1 Tm 0.3333 0.6667 0.8344
Pb1 Pb 0.0000 0.0000 0.6682
Pb2 Pb 0.3333 0.6667 0.1666
N1 N 0.6667 0.3333 0.4171
N2 N 0.6667 0.3333 0.9148

| no. | final energy (eV per atom) | total magnetic moment (μB per formula unit) |
| --- | --- | --- |
| 1 | -9.077 | 0.051 |
| 2 | -6.924 | 0.004 |
| 3 | -6.394 | 0.009 |